Below is an optimized crystal structure of Y4TePtS2, with properties calculated at the PBE level.

Cell: 3.9959 7.2065 7.1002 Å, 71.52 90.00 90.00°
Last column: nearest neighbours and their distance in Å.
Fractional coordinates of all 8 atoms:
1 Y 0.0000 0.2238 0.2744  3 S 2.74-2.90, 1 Pt 2.92, 2 Te 3.05
2 Y 0.0000 0.7762 0.7256  3 S 2.74-2.90, 1 Pt 2.92, 2 Te 3.05
3 Y 0.5000 0.2438 0.7348  3 S 2.78-2.92, 2 Pt 2.87, 1 Te 3.03
4 Y 0.5000 0.7562 0.2652  3 S 2.78-2.92, 2 Pt 2.87, 1 Te 3.03
5 Pt 0.0000 0.5000 0.5000  6 Y 2.87-2.92
6 S 0.5000 0.0000 0.5000  6 Y 2.74-2.78
7 S 0.0000 0.0000 0.0000  6 Y 2.90-2.92
8 Te 0.5000 0.5000 0.0000  6 Y 3.03-3.05

## Properties
Fermi-level density of states (states/eV per atom): 0.560
E_form (uncorrected) (eV/atom): -1.58
Mass density (g/cm3): 6.36